A relaxed structure of Ca2CrRe. Source: Alexandria, functional PBE-GGA.

a = 8.0964 Å, b = 8.0964 Å, c = 5.5801 Å
α = 90.00°, β = 90.00°, γ = 90.00°
With the nearest neighbours (Å) after each atom.
Space group I-42d (No. 122)
Symmetry-distinct sites (fractional):
Ca: 0.2494 0.2500 0.1250 x8  2 Ca 2.79, 2 Cr 2.94, 2 Re 2.95
Cr: 0.0000 0.0000 0.0000 x4  2 Re 2.79, 4 Ca 2.94
Re: 0.0000 0.0000 0.5000 x4  2 Cr 2.79, 4 Ca 2.95

energy of formation: 480 kJ/mol of formula units
total magnetization: 2.76 μB per formula unit
crystal system: tetragonal